Here is UPd3Au after structural relaxation from the Alexandria database. Energies are from PBE.

Lattice parameters (Å, degrees): 5.297 6.729 6.729 69.82 66.82 66.82
Last column: magnetic moment on the atom in μB.
Fractional positions:
1 Pd 0.000 0.000 0.500  -0.05
2 Pd 0.213 0.348 0.225  -0.05
3 U 0.003 0.247 0.747  1.93
4 Pd 0.500 0.000 0.500  -0.05
5 U 0.997 0.753 0.253  1.93
6 Au 0.500 0.500 0.500  0.02
7 Pd 0.787 0.275 0.152  -0.05
8 Pd 0.213 0.725 0.848  -0.05
9 Au 0.500 0.000 0.000  0.02
10 Pd 0.787 0.652 0.775  -0.05

Results
Offset from the most stable computed form   0.054 eV/atom
Calculated formation energy   -112 meV/atom